32
Lattice="7.420 0.000 0.000 0.000 7.780 0.000 -7.388 0.000 8.001" Properties=species:S:1:pos:R:3 comment="MoO3 PBE+U relaxed" energy_ev_per_cell=-225.0 spacegroup="No. 14" density_g_cm3=4.140 pbc="T T T"
Mo -1.849 0.253 2.288
Mo -5.543 3.637 6.289
Mo -1.837 4.162 5.723
Mo 1.856 7.509 1.723
Mo -1.824 0.272 6.279
Mo 1.869 3.619 2.278
Mo 5.575 4.144 1.713
Mo 1.882 7.527 5.713
O -5.330 5.766 5.865
O -1.637 5.904 1.864
O -3.693 0.221 5.787
O 0.001 3.670 1.786
O 0.014 0.219 1.779
O -3.680 3.672 5.779
O -1.614 4.078 3.983
O -5.307 7.593 7.984
O -1.613 0.047 4.017
O 2.080 3.843 0.017
O 1.637 5.764 2.001
O -2.057 5.907 6.001
O 2.089 1.874 2.000
O -1.604 2.017 6.001
O -2.048 3.937 7.985
O 1.645 7.734 3.984
O 5.340 0.188 0.018
O 1.646 3.703 4.018
O 3.712 4.109 2.222
O 0.018 7.562 6.223
O 0.031 4.111 6.215
O 3.725 7.560 2.214
O 1.669 1.876 6.137
O 5.362 2.014 2.136


16
Lattice="5.170 0.000 0.000 0.000 5.440 0.000 0.000 0.000 7.794" Properties=species:S:1:pos:R:3 comment="MoO PBE+U relaxed" energy_ev_per_cell=-107.4 spacegroup="No. 19" density_g_cm3=6.783 pbc="T T T"
Mo 1.089 0.176 3.848
Mo 1.149 2.951 5.807
Mo 1.436 2.489 1.909
Mo 1.496 5.265 7.745
Mo 3.674 2.545 3.947
Mo 3.734 5.209 1.988
Mo 4.021 0.231 5.885
Mo 4.081 2.896 0.049
O 0.293 1.402 6.923
O 0.536 0.535 1.746
O 2.049 4.905 5.643
O 2.292 4.038 3.026
O 2.878 1.318 0.871
O 3.121 2.185 6.049
O 4.634 3.255 2.151
O 4.877 4.123 4.768


6
Lattice="4.747 0.000 0.000 0.000 4.747 0.000 0.000 0.000 3.242" Properties=species:S:1:pos:R:3 comment="MoO2 PBE+U relaxed" energy_ev_per_cell=-44.5 spacegroup="No. 136" density_g_cm3=5.816 pbc="T T T"
Mo 0.000 0.000 0.000
Mo 2.374 2.374 1.621
O 0.943 0.943 1.621
O 1.431 3.316 0.000
O 3.316 1.431 0.000
O 3.804 3.804 1.621


4
Lattice="2.826 0.000 0.000 -1.413 2.447 0.000 0.000 0.000 6.956" Properties=species:S:1:pos:R:3 comment="MoO PBE+U relaxed" energy_ev_per_cell=-25.8 spacegroup="No. 186" density_g_cm3=7.728 pbc="T T T"
Mo 0.000 1.631 0.000
Mo 1.413 0.816 3.478
O 0.000 1.631 4.857
O 1.413 0.816 1.379


24
Lattice="9.187 0.000 0.000 0.000 3.287 0.000 0.000 0.000 11.057" Properties=species:S:1:pos:R:3 comment="MoO2 PBE+U relaxed" energy_ev_per_cell=-175.9 spacegroup="No. 62" density_g_cm3=5.090 pbc="T T T"
Mo 0.577 0.822 1.277
Mo 0.745 0.822 6.721
Mo 3.848 2.465 1.192
Mo 4.017 2.465 6.805
Mo 5.171 0.822 4.252
Mo 5.339 0.822 9.865
Mo 8.442 2.465 4.336
Mo 8.610 2.465 9.780
O 0.029 2.465 2.464
O 0.547 0.822 4.721
O 0.991 2.465 11.039
O 2.017 2.465 7.083
O 2.576 0.822 1.554
O 3.603 0.822 5.511
O 4.047 2.465 10.249
O 4.565 0.822 7.993
O 4.622 2.465 3.064
O 5.140 0.822 0.808
O 5.584 2.465 5.546
O 6.611 2.465 9.503
O 7.170 0.822 3.975
O 8.197 0.822 0.018
O 8.640 2.465 6.337
O 9.159 0.822 8.593


10
Lattice="3.496 0.000 0.000 -1.377 7.307 0.000 -1.270 -3.403 7.359" Properties=species:S:1:pos:R:3 comment="MoO4 PBE+U relaxed" energy_ev_per_cell=-65.0 spacegroup="No. 2" density_g_cm3=2.826 pbc="T T T"
Mo -0.687 2.752 1.444
Mo 1.537 1.152 5.916
O -0.686 1.254 2.271
O -0.689 5.004 0.244
O -0.212 0.466 5.497
O -0.582 5.092 3.793
O 1.432 -1.187 3.566
O 1.061 3.439 1.862
O 1.538 -1.099 7.115
O 1.535 2.651 5.088


Please write out number 4 again, unchanged.
4
Lattice="2.826 0.000 0.000 -1.413 2.447 0.000 0.000 0.000 6.956" Properties=species:S:1:pos:R:3 comment="MoO PBE+U relaxed" energy_ev_per_cell=-25.8 spacegroup="No. 186" density_g_cm3=7.728 pbc="T T T"
Mo 0.000 1.631 0.000
Mo 1.413 0.816 3.478
O 0.000 1.631 4.857
O 1.413 0.816 1.379